La3VGe, optimized geometry, DFT PBE; size of the total moment = 0.0000 μB per atom; DFT formation energy = 0.1748 eV per atom; space-group type = Pm-3m
1.0
5.2406 0.0000 0.0000
0.0000 5.2406 0.0000
0.0000 0.0000 5.2406
La V Ge
3 1 1
Direct
0.0000 0.0000 0.5000 La
0.0000 0.5000 0.0000 La
0.5000 0.0000 0.0000 La
0.0000 0.0000 0.0000 V
0.5000 0.5000 0.5000 Ge

La2VGe4, optimized geometry, DFT PBE; size of the total moment = 0.0000 μB per atom; DFT formation energy = -0.4793 eV per atom; space-group type = I4/mmm
1.0
-2.3563 2.3563 7.6183
2.3563 -2.3563 7.6183
2.3563 2.3563 -7.6183
La V Ge
2 1 4
Direct
0.1408 0.1408 0.0000 La
0.8592 0.8592 0.0000 La
0.5000 0.5000 0.0000 V
0.0000 0.5000 0.5000 Ge
0.3378 0.3378 0.0000 Ge
0.5000 0.0000 0.5000 Ge
0.6622 0.6622 0.0000 Ge

LaV2Ge2, optimized geometry, DFT PBE; size of the total moment = 0.1169 μB per atom; DFT formation energy = -0.1276 eV per atom; space-group type = P4/mbm
1.0
7.8030 0.0000 0.0000
0.0000 7.8030 0.0000
0.0000 0.0000 2.9196
La V Ge
2 4 4
Direct
0.0000 0.0000 0.0000 La
0.5000 0.5000 0.0000 La
0.1103 0.3897 0.0000 V
0.3897 0.8897 0.0000 V
0.6103 0.1103 0.0000 V
0.8897 0.6103 0.0000 V
0.1746 0.6746 0.5000 Ge
0.3254 0.1746 0.5000 Ge
0.6746 0.8254 0.5000 Ge
0.8254 0.3254 0.5000 Ge

LaV2Ge, optimized geometry, DFT PBE; size of the total moment = 0.6523 μB per atom; DFT formation energy = 0.5293 eV per atom; space-group type = I-42d
1.0
-3.8319 3.8319 2.9003
3.8319 -3.8319 2.9003
3.8319 3.8319 -2.9003
La V Ge
2 4 2
Direct
0.0000 0.0000 0.0000 La
0.7500 0.2500 0.5000 La
0.1900 0.6250 0.0650 V
0.3750 0.4400 0.5650 V
0.5600 0.1250 0.9350 V
0.8750 0.8100 0.4350 V
0.2500 0.7500 0.5000 Ge
0.5000 0.5000 0.0000 Ge

LaVGe2, optimized geometry, DFT PBE; size of the total moment = 0.4228 μB per atom; DFT formation energy = -0.1145 eV per atom; space-group type = I-42d
1.0
-2.4962 2.4962 8.2157
2.4962 -2.4962 8.2157
2.4962 2.4962 -8.2157
La V Ge
2 2 4
Direct
0.0000 0.0000 0.0000 La
0.7500 0.2500 0.5000 La
0.2500 0.7500 0.5000 V
0.5000 0.5000 0.0000 V
0.3022 0.6250 0.1772 Ge
0.3750 0.5522 0.6772 Ge
0.4478 0.1250 0.8228 Ge
0.8750 0.6978 0.3228 Ge

La2Ge2W, optimized geometry, DFT PBE; size of the total moment = 0.0000 μB per atom; DFT formation energy = 0.2924 eV per atom; space-group type = I4/mmm
1.0
-1.8211 1.8211 9.4287
1.8211 -1.8211 9.4287
1.8211 1.8211 -9.4287
La Ge W
2 2 1
Direct
0.0976 0.0976 0.0000 La
0.9024 0.9024 0.0000 La
0.2500 0.7500 0.5000 Ge
0.7500 0.2500 0.5000 Ge
0.5000 0.5000 0.0000 W

LaGeW2, optimized geometry, DFT PBE; size of the total moment = 0.0000 μB per atom; DFT formation energy = 0.8527 eV per atom; space-group type = I-42d
1.0
-3.9425 3.9425 2.7871
3.9425 -3.9425 2.7871
3.9425 3.9425 -2.7871
La Ge W
2 2 4
Direct
0.0000 0.0000 0.0000 La
0.7500 0.2500 0.5000 La
0.2500 0.7500 0.5000 Ge
0.5000 0.5000 0.0000 Ge
0.1949 0.6250 0.0699 W
0.3750 0.4449 0.5699 W
0.5551 0.1250 0.9301 W
0.8750 0.8051 0.4301 W

La3GeW, optimized geometry, DFT PBE; size of the total moment = 0.0000 μB per atom; DFT formation energy = 0.3032 eV per atom; space-group type = Pm-3m
1.0
5.4773 0.0000 0.0000
0.0000 5.4773 0.0000
0.0000 0.0000 5.4773
La Ge W
3 1 1
Direct
0.0000 0.0000 0.5000 La
0.0000 0.5000 0.0000 La
0.5000 0.0000 0.0000 La
0.5000 0.5000 0.5000 Ge
0.0000 0.0000 0.0000 W

LaGe3W, optimized geometry, DFT PBE; size of the total moment = 0.0000 μB per atom; DFT formation energy = 2.1773 eV per atom; space-group type = Pm-3m
1.0
5.2958 0.0000 0.0000
0.0000 5.2958 0.0000
0.0000 0.0000 5.2958
La Ge W
1 3 1
Direct
0.0000 0.0000 0.0000 La
0.0000 0.0000 0.5000 Ge
0.0000 0.5000 0.0000 Ge
0.5000 0.0000 0.0000 Ge
0.5000 0.5000 0.5000 W

La2Ge2W, optimized geometry, DFT PBE; size of the total moment = 0.0000 μB per atom; DFT formation energy = -0.2674 eV per atom; space-group type = P4/mbm
1.0
7.1590 0.0000 0.0000
0.0000 7.1590 0.0000
0.0000 0.0000 4.6060
La Ge W
4 4 2
Direct
0.1775 0.3225 0.0000 La
0.3225 0.8225 0.0000 La
0.6775 0.1775 0.0000 La
0.8225 0.6775 0.0000 La
0.1345 0.6345 0.5000 Ge
0.3655 0.1345 0.5000 Ge
0.6345 0.8655 0.5000 Ge
0.8655 0.3655 0.5000 Ge
0.0000 0.0000 0.5000 W
0.5000 0.5000 0.5000 W

LaGeW3, optimized geometry, DFT PBE; size of the total moment = 0.0000 μB per atom; DFT formation energy = 3.0184 eV per atom; space-group type = Pm-3m
1.0
4.8962 0.0000 0.0000
0.0000 4.8962 0.0000
0.0000 0.0000 4.8962
La Ge W
1 1 3
Direct
0.0000 0.0000 0.0000 La
0.5000 0.5000 0.5000 Ge
0.0000 0.0000 0.5000 W
0.0000 0.5000 0.0000 W
0.5000 0.0000 0.0000 W

La2Ge2W, optimized geometry, DFT PBE; size of the total moment = 0.0003 μB per atom; DFT formation energy = 0.5341 eV per atom; space-group type = P4/mbm
1.0
8.7415 0.0000 0.0000
0.0000 8.7415 0.0000
0.0000 0.0000 3.2412
La Ge W
4 4 2
Direct
0.1366 0.3634 0.0000 La
0.3634 0.8634 0.0000 La
0.6366 0.1366 0.0000 La
0.8634 0.6366 0.0000 La
0.1672 0.6672 0.5000 Ge
0.3328 0.1672 0.5000 Ge
0.6672 0.8328 0.5000 Ge
0.8328 0.3328 0.5000 Ge
0.0000 0.0000 0.0000 W
0.5000 0.5000 0.0000 W

LaGeW3, optimized geometry, DFT PBE; size of the total moment = 0.0000 μB per atom; DFT formation energy = 1.2851 eV per atom; space-group type = Pm-3m
1.0
4.7743 0.0000 0.0000
0.0000 4.7743 0.0000
0.0000 0.0000 4.7743
La Ge W
1 1 3
Direct
0.0000 0.0000 0.0000 La
0.5000 0.5000 0.5000 Ge
0.0000 0.5000 0.5000 W
0.5000 0.0000 0.5000 W
0.5000 0.5000 0.0000 W

LaGe3W, optimized geometry, DFT PBE; size of the total moment = 0.0000 μB per atom; DFT formation energy = -0.0658 eV per atom; space-group type = Pm-3m
1.0
4.9003 0.0000 0.0000
0.0000 4.9003 0.0000
0.0000 0.0000 4.9003
La Ge W
1 3 1
Direct
0.0000 0.0000 0.0000 La
0.0000 0.5000 0.5000 Ge
0.5000 0.0000 0.5000 Ge
0.5000 0.5000 0.0000 Ge
0.5000 0.5000 0.5000 W

La2YGe2, optimized geometry, DFT PBE; size of the total moment = 0.1693 μB per atom; DFT formation energy = -0.7798 eV per atom; space-group type = P4/mbm
1.0
8.1122 0.0000 0.0000
0.0000 8.1122 0.0000
0.0000 0.0000 4.2513
La Y Ge
4 2 4
Direct
0.1427 0.3573 0.0000 La
0.3573 0.8573 0.0000 La
0.6427 0.1427 0.0000 La
0.8573 0.6427 0.0000 La
0.0000 0.0000 0.5000 Y
0.5000 0.5000 0.5000 Y
0.1624 0.6624 0.5000 Ge
0.3376 0.1624 0.5000 Ge
0.6624 0.8376 0.5000 Ge
0.8376 0.3376 0.5000 Ge

LaYGe3, optimized geometry, DFT PBE; size of the total moment = 0.0000 μB per atom; DFT formation energy = -0.0083 eV per atom; space-group type = Pm-3m
1.0
5.2864 0.0000 0.0000
0.0000 5.2864 0.0000
0.0000 0.0000 5.2864
La Y Ge
1 1 3
Direct
0.0000 0.0000 0.0000 La
0.5000 0.5000 0.5000 Y
0.0000 0.5000 0.5000 Ge
0.5000 0.0000 0.5000 Ge
0.5000 0.5000 0.0000 Ge

La2Y3Ge4, optimized geometry, DFT PBE; size of the total moment = 0.0000 μB per atom; DFT formation energy = -0.9034 eV per atom; space-group type = P2_1/c
1.0
8.0625 0.0000 0.0000
0.0000 7.9699 0.0000
-2.7897 0.0000 7.2688
La Y Ge
4 6 8
Direct
0.1948 0.1805 0.0665 La
0.1948 0.3195 0.5665 La
0.8052 0.6805 0.4335 La
0.8052 0.8195 0.9335 La
0.2418 0.6642 0.2372 Y
0.2418 0.8358 0.7372 Y
0.5000 0.0000 0.5000 Y
0.5000 0.5000 0.0000 Y
0.7582 0.1642 0.2628 Y
0.7582 0.3358 0.7628 Y
0.0882 0.5404 0.8389 Ge
0.0882 0.9596 0.3389 Ge
0.4942 0.1294 0.8699 Ge
0.4942 0.3706 0.3699 Ge
0.5058 0.6294 0.6301 Ge
0.5058 0.8706 0.1301 Ge
0.9118 0.0404 0.6611 Ge
0.9118 0.4596 0.1611 Ge

LaYGe2, optimized geometry, DFT PBE; size of the total moment = 0.0000 μB per atom; DFT formation energy = -0.6985 eV per atom; space-group type = R-3m
1.0
2.3617 1.3635 5.5222
-2.3617 1.3635 5.5222
0.0000 -2.7270 5.5222
La Y Ge
1 1 2
Direct
0.0000 0.0000 0.0000 La
0.5000 0.5000 0.5000 Y
0.2399 0.2399 0.2399 Ge
0.7601 0.7601 0.7601 Ge

LaYGe2, optimized geometry, DFT PBE; size of the total moment = 0.0000 μB per atom; DFT formation energy = -0.6725 eV per atom; space-group type = P4/mmm
1.0
3.4387 0.0000 0.0000
0.0000 3.4387 0.0000
0.0000 0.0000 8.2195
La Y Ge
1 1 2
Direct
0.0000 0.0000 0.0000 La
0.0000 0.0000 0.5000 Y
0.5000 0.5000 0.2612 Ge
0.5000 0.5000 0.7388 Ge

LaYGe2, optimized geometry, DFT PBE; size of the total moment = 0.0000 μB per atom; DFT formation energy = -0.8396 eV per atom; space-group type = Amm2
1.0
4.0652 0.0000 0.0000
0.0000 2.2343 5.5426
0.0000 -2.2343 5.5426
La Y Ge
1 1 2
Direct
0.0000 0.0000 0.0000 La
0.5000 0.7252 0.7252 Y
0.0000 0.2764 0.2764 Ge
0.5000 0.4392 0.4392 Ge

La2YGe2, optimized geometry, DFT PBE; size of the total moment = 0.0000 μB per atom; DFT formation energy = -0.7403 eV per atom; space-group type = C2/m
1.0
6.3905 -2.2468 0.0000
6.3905 2.2468 0.0000
-5.0100 0.0000 9.8667
La Y Ge
4 2 4
Direct
0.0151 0.0151 0.1873 La
0.1782 0.1782 0.5890 La
0.8218 0.8218 0.4110 La
0.9849 0.9849 0.8127 La
0.2754 0.2754 0.1337 Y
0.7246 0.7246 0.8663 Y
0.3838 0.3838 0.9418 Ge
0.4900 0.4900 0.6112 Ge
0.5100 0.5100 0.3888 Ge
0.6162 0.6162 0.0582 Ge

LaYGe3, optimized geometry, DFT PBE; size of the total moment = 0.0000 μB per atom; DFT formation energy = 0.4766 eV per atom; space-group type = Pm-3m
1.0
5.4195 0.0000 0.0000
0.0000 5.4195 0.0000
0.0000 0.0000 5.4195
La Y Ge
1 1 3
Direct
0.0000 0.0000 0.0000 La
0.5000 0.5000 0.5000 Y
0.0000 0.0000 0.5000 Ge
0.0000 0.5000 0.0000 Ge
0.5000 0.0000 0.0000 Ge

LaY2Ge2, optimized geometry, DFT PBE; size of the total moment = 0.0000 μB per atom; DFT formation energy = -0.7062 eV per atom; space-group type = P4/mbm
1.0
8.3025 0.0000 0.0000
0.0000 8.3025 0.0000
0.0000 0.0000 3.8011
La Y Ge
2 4 4
Direct
0.0000 0.0000 0.0000 La
0.5000 0.5000 0.0000 La
0.1484 0.3516 0.5000 Y
0.3516 0.8516 0.5000 Y
0.6484 0.1484 0.5000 Y
0.8516 0.6484 0.5000 Y
0.1532 0.6532 0.0000 Ge
0.3468 0.1532 0.0000 Ge
0.6532 0.8468 0.0000 Ge
0.8468 0.3468 0.0000 Ge

La3YGe, optimized geometry, DFT PBE; size of the total moment = 0.3520 μB per atom; DFT formation energy = -0.0246 eV per atom; space-group type = Pm-3m
1.0
5.8337 0.0000 0.0000
0.0000 5.8337 0.0000
0.0000 0.0000 5.8337
La Y Ge
3 1 1
Direct
0.0000 0.0000 0.5000 La
0.0000 0.5000 0.0000 La
0.5000 0.0000 0.0000 La
0.5000 0.5000 0.5000 Y
0.0000 0.0000 0.0000 Ge

La3Y3Ge4, optimized geometry, DFT PBE; size of the total moment = 0.0000 μB per atom; DFT formation energy = -0.7186 eV per atom; space-group type = Amm2
1.0
4.1611 0.0000 0.0000
0.0000 5.8066 5.5177
0.0000 -5.8066 5.5177
La Y Ge
3 3 4
Direct
0.0000 0.0000 0.0000 La
0.5000 0.3260 0.8330 La
0.5000 0.8330 0.3260 La
0.0000 0.1668 0.5007 Y
0.0000 0.5007 0.1668 Y
0.0000 0.6606 0.6606 Y
0.5000 0.2203 0.2203 Ge
0.5000 0.4568 0.4568 Ge
0.5000 0.6909 0.9588 Ge
0.5000 0.9588 0.6909 Ge

LaY2Ge2, optimized geometry, DFT PBE; size of the total moment = 0.0000 μB per atom; DFT formation energy = -0.6604 eV per atom; space-group type = I4/mmm
1.0
-2.2919 2.2919 6.3679
2.2919 -2.2919 6.3679
2.2919 2.2919 -6.3679
La Y Ge
1 2 2
Direct
0.0000 0.0000 0.0000 La
0.2500 0.7500 0.5000 Y
0.7500 0.2500 0.5000 Y
0.3998 0.3998 0.0000 Ge
0.6002 0.6002 0.0000 Ge